# PBE Co2Os2W, relaxed
# **DFT formation energy**: 0.19 eV/atom
# **Energy**: -9.7322 eV per atom
data_Co2Os2W
_chemical_formula_sum 'Co4 Os4 W2'
_cell_length_a 6.9936
_cell_length_b 6.9936
_cell_length_c 2.7038
_cell_angle_alpha 90.00
_cell_angle_beta 90.00
_cell_angle_gamma 90.00
_symmetry_space_group_name_H-M 'P 4/m b m'
_symmetry_Int_Tables_number 127
_symmetry_space_group_name_Hall '-P 4 2ab'
loop_
_atom_site_label
_atom_site_type_symbol
_atom_site_fract_x
_atom_site_fract_y
_atom_site_fract_z
Co1 Co 0.1186 0.3814 0.0000
Os1 Os 0.1767 0.6767 0.5000
W1 W 0.0000 0.0000 0.0000

=====

# PBE YCl, relaxed
# **ΔE_f (raw)**: -2.7 eV/f.u.
# **Energy**: -5.5154 eV per atom
data_YCl
_chemical_formula_sum 'Y8 Cl8'
_cell_length_a 11.0349
_cell_length_b 11.0349
_cell_length_c 3.7875
_cell_angle_alpha 90.00
_cell_angle_beta 90.00
_cell_angle_gamma 90.00
_symmetry_space_group_name_H-M 'I 4/m'
_symmetry_Int_Tables_number 87
_symmetry_space_group_name_Hall '-I 4'
loop_
_atom_site_label
_atom_site_type_symbol
_atom_site_fract_x
_atom_site_fract_y
_atom_site_fract_z
Y1 Y 0.1008 0.3445 0.0000
Cl1 Cl 0.1118 0.7929 0.0000

=====

# PBE Sc2TaCl, relaxed
# **ΔE_f (raw)**: 1.5 eV/f.u.
# **Energy**: -6.2056 eV per atom
# **Excess energy over the best structure of this formula in the dataset**: 0.888 eV/atom
data_Sc2TaCl
_chemical_formula_sum 'Sc4 Ta2 Cl2'
_cell_length_a 4.3578
_cell_length_b 4.3578
_cell_length_c 8.6096
_cell_angle_alpha 90.00
_cell_angle_beta 90.00
_cell_angle_gamma 90.00
_symmetry_space_group_name_H-M 'I 4/m m m'
_symmetry_Int_Tables_number 139
_symmetry_space_group_name_Hall '-I 4 2'
loop_
_atom_site_label
_atom_site_type_symbol
_atom_site_fract_x
_atom_site_fract_y
_atom_site_fract_z
Sc1 Sc 0.0000 0.5000 0.2500
Ta1 Ta 0.0000 0.0000 0.0000
Cl1 Cl 0.0000 0.0000 0.5000

=====

# PBE Li6CuGe, relaxed
# **DFT formation energy**: -0.15 eV/atom
# **Energy**: -2.6700 eV per atom
data_Li6CuGe
_chemical_formula_sum 'Li12 Cu2 Ge2'
_cell_length_a 4.5710
_cell_length_b 5.6187
_cell_length_c 9.7141
_cell_angle_alpha 90.00
_cell_angle_beta 90.00
_cell_angle_gamma 90.00
_symmetry_space_group_name_H-M 'A m m 2'
_symmetry_Int_Tables_number 38
loop_
_symmetry_equiv_pos_as_xyz
'x,y,z'
'-x,-y,z'
'-x,y,z'
'x,-y,z'
'x,y+1/2,z+1/2'
'-x,-y+1/2,z+1/2'
'-x,y+1/2,z+1/2'
'x,-y+1/2,z+1/2'
loop_
_atom_site_label
_atom_site_type_symbol
_atom_site_fract_x
_atom_site_fract_y
_atom_site_fract_z
Li1 Li 0.0000 0.0000 0.0000
Li2 Li 0.0000 0.2327 0.7673
Li3 Li 0.5000 0.0000 0.3488
Li4 Li 0.5000 0.2425 0.5916
Cu1 Cu 0.0000 0.0000 0.5110
Ge1 Ge 0.5000 0.0000 0.8441

=====

# PBE Ac3Pm8, relaxed
# **DFT formation energy**: 0.57 eV/atom
# **Energy**: -4.0044 eV per atom
# **Excess energy over the best structure of this formula in the dataset**: 0.533 eV/atom
data_Ac3Pm8
_chemical_formula_sum 'Ac9 Pm24'
_cell_length_a 10.2298
_cell_length_b 10.2298
_cell_length_c 13.8201
_cell_angle_alpha 90.00
_cell_angle_beta 90.00
_cell_angle_gamma 120.00
_symmetry_space_group_name_H-M 'R -3'
_symmetry_Int_Tables_number 148
_symmetry_space_group_name_Hall '-R 3'
loop_
_atom_site_label
_atom_site_type_symbol
_atom_site_fract_x
_atom_site_fract_y
_atom_site_fract_z
Ac1 Ac 0.0000 0.5000 0.0000
Pm1 Pm 0.0000 0.0000 0.3924
Pm2 Pm 0.0230 0.2113 0.1107

=====

# PBE HgOsF2, relaxed
# **ΔE_f (raw)**: -3.2 eV/f.u.
# **Energy**: -4.6254 eV per atom
# **Excess energy over the best structure of this formula in the dataset**: 0.000 eV/atom
data_HgOsF2
_chemical_formula_sum 'Hg3 Os3 F6'
_cell_length_a 2.7925
_cell_length_b 2.7925
_cell_length_c 27.2903
_cell_angle_alpha 90.00
_cell_angle_beta 90.00
_cell_angle_gamma 120.00
_symmetry_space_group_name_H-M 'R -3 m'
_symmetry_Int_Tables_number 166
_symmetry_space_group_name_Hall '-R 3 2"'
loop_
_atom_site_label
_atom_site_type_symbol
_atom_site_fract_x
_atom_site_fract_y
_atom_site_fract_z
Hg1 Hg 0.0000 0.0000 0.0000
Os1 Os 0.0000 0.0000 0.5000
F1 F 0.0000 0.0000 0.4295

=====

# PBE Tl5AgCl6, relaxed
# **ΔE_f (raw)**: -10.8 eV/f.u.
# **Energy**: -3.0451 eV per atom
data_Tl5AgCl6
_chemical_formula_sum 'Tl10 Ag2 Cl12'
_cell_length_a 7.7839
_cell_length_b 13.6398
_cell_length_c 7.8239
_cell_angle_alpha 90.00
_cell_angle_beta 108.72
_cell_angle_gamma 90.00
_symmetry_space_group_name_H-M 'C 1 2/m 1'
_symmetry_Int_Tables_number 12
loop_
_symmetry_equiv_pos_as_xyz
'x,y,z'
'-x,-y,-z'
'-x,y,-z'
'x,-y,z'
'x+1/2,y+1/2,z'
'-x+1/2,-y+1/2,-z'
'-x+1/2,y+1/2,-z'
'x+1/2,-y+1/2,z'
loop_
_atom_site_label
_atom_site_type_symbol
_atom_site_fract_x
_atom_site_fract_y
_atom_site_fract_z
Tl1 Tl 0.0000 0.0000 0.0000
Tl2 Tl 0.0000 0.1721 0.5000
Tl3 Tl 0.0000 0.3353 0.0000
Ag1 Ag 0.0000 0.5000 0.5000
Cl1 Cl 0.2047 0.5000 0.3053
Cl2 Cl 0.2435 0.1650 0.2432

=====

# PBE CaLaTlHg, relaxed
# **DFT formation energy**: -0.52 eV/atom
# **Energy**: -2.9196 eV per atom
data_CaLaTlHg
_chemical_formula_sum 'Ca4 La4 Tl4 Hg4'
_cell_length_a 7.7964
_cell_length_b 7.7964
_cell_length_c 7.7964
_cell_angle_alpha 90.00
_cell_angle_beta 90.00
_cell_angle_gamma 90.00
_symmetry_space_group_name_H-M 'F -4 3 m'
_symmetry_Int_Tables_number 216
_symmetry_space_group_name_Hall 'F -4 2 3'
loop_
_atom_site_label
_atom_site_type_symbol
_atom_site_fract_x
_atom_site_fract_y
_atom_site_fract_z
Ca1 Ca 0.0000 0.0000 0.0000
La1 La 0.0000 0.0000 0.5000
Tl1 Tl 0.2500 0.2500 0.7500
Hg1 Hg 0.2500 0.2500 0.2500